(1)
! GGA-PBEsol BaYTe2, optimized geometry; values from VASP
&SYSTEM
  ibrav = 0, nat = 4, ntyp = 3
/
ATOMIC_SPECIES
Y 88.91 Y.upf
Ba 137.33 Ba.upf
Te 127.60 Te.upf
ATOMIC_POSITIONS angstrom
Y 0.000 0.000 0.000
Ba 4.875 2.815 4.744
Te 2.438 1.407 6.673
Te 7.313 4.222 2.815
CELL_PARAMETERS angstrom
4.875 0.000 0.000
2.438 4.222 0.000
2.438 1.407 9.488
! Fermi-level density of states = 2.0 states/eV per cell
! formation energy without anion corrections = -0.81 eV per atom
! theoretical density = 4.094 Mg/m³

=====

(2)
! GGA-PBEsol BaZn4Te, optimized geometry; values from VASP
&SYSTEM
  ibrav = 0, nat = 6, ntyp = 3
/
ATOMIC_SPECIES
Zn 65.41 Zn.upf
Te 127.60 Te.upf
Ba 137.33 Ba.upf
ATOMIC_POSITIONS angstrom
Zn -4.515 -6.149 1.751
Zn -5.062 -5.862 -1.128
Zn -3.681 -3.709 0.330
Zn -6.538 -4.223 0.821
Te 0.000 0.000 0.000
Ba -7.424 -7.478 0.665
CELL_PARAMETERS angstrom
-2.694 -4.204 -2.846
-1.627 -4.764 2.773
-5.577 -1.004 0.959
! Fermi-level density of states = 2.4 states/eV per cell
! formation energy without anion corrections = -0.11 eV per atom
! theoretical density = 6.514 Mg/m³

=====

(3)
! GGA-PBEsol BaZn2Te2, optimized geometry; values from VASP
&SYSTEM
  ibrav = 0, nat = 5, ntyp = 3
/
ATOMIC_SPECIES
Zn 65.41 Zn.upf
Te 127.60 Te.upf
Ba 137.33 Ba.upf
ATOMIC_POSITIONS angstrom
Zn -3.320 -1.609 0.834
Zn -1.625 0.191 3.410
Te -1.541 -2.457 2.731
Te -3.404 1.039 1.514
Ba 0.000 0.000 0.000
CELL_PARAMETERS angstrom
-1.682 -4.731 -0.536
1.708 -1.131 4.615
-4.970 4.444 0.166
! Fermi-level density of states = 1.9 states/eV per cell
! formation energy without anion corrections = -0.49 eV per atom
! theoretical density = 6.050 Mg/m³

=====

(4)
! GGA-PBEsol Ba2ZnTe3, optimized geometry; values from VASP
&SYSTEM
  ibrav = 0, nat = 24, ntyp = 3
/
ATOMIC_SPECIES
Te 127.60 Te.upf
Zn 65.41 Zn.upf
Ba 137.33 Ba.upf
ATOMIC_POSITIONS angstrom
Te 0.629 -1.701 1.018
Te 2.184 -3.099 4.800
Te 1.688 -6.560 9.676
Te 7.492 -7.804 6.522
Te 3.141 -6.041 16.183
Te 3.293 -5.137 1.121
Te 4.250 -8.079 12.504
Te -0.380 -6.730 13.466
Te -1.058 -3.374 10.782
Te 4.746 -4.619 7.629
Te 6.814 -4.448 3.838
Te 5.805 -9.477 16.286
Zn 3.693 -8.478 15.061
Zn 2.741 -2.700 2.243
Zn 7.024 -5.108 6.393
Zn -0.591 -6.071 10.911
Ba 5.132 -7.615 9.185
Ba 3.875 -6.121 4.544
Ba 1.302 -3.563 8.119
Ba -0.593 -4.277 3.117
Ba 0.053 -7.639 16.782
Ba 6.381 -3.539 0.522
Ba 2.559 -5.057 12.761
Ba 7.027 -6.901 14.187
CELL_PARAMETERS angstrom
-1.457 -4.294 -0.988
9.131 -3.093 -0.022
-1.240 -3.791 18.314
! formation energy without anion corrections = -1.30 eV per atom
! theoretical density = 5.725 Mg/m³

=====

(5)
! GGA-PBEsol BaZr2Te, optimized geometry; values from VASP
&SYSTEM
  ibrav = 0, nat = 4, ntyp = 3
/
ATOMIC_SPECIES
Te 127.60 Te.upf
Zr 91.22 Zr.upf
Ba 137.33 Ba.upf
ATOMIC_POSITIONS angstrom
Te 2.813 1.379 2.241
Zr 0.161 1.286 0.820
Zr -1.010 2.959 4.040
Ba 0.901 -1.470 2.845
CELL_PARAMETERS angstrom
-2.336 -0.727 3.035
4.139 -2.214 2.656
1.487 4.971 1.826
! Fermi-level density of states = 4.2 states/eV per cell
! formation energy without anion corrections = 0.00 eV per atom
! theoretical density = 6.441 Mg/m³

=====

(6)
! GGA-PBEsol BaZr4Te, optimized geometry; values from VASP
&SYSTEM
  ibrav = 0, nat = 6, ntyp = 3
/
ATOMIC_SPECIES
Zr 91.22 Zr.upf
Te 127.60 Te.upf
Ba 137.33 Ba.upf
ATOMIC_POSITIONS angstrom
Zr -8.110 0.648 -0.254
Zr -7.429 1.428 -3.006
Zr -5.326 1.280 -0.956
Zr -7.337 3.422 -0.847
Te 0.000 0.000 0.000
Ba -10.575 2.542 -1.898
CELL_PARAMETERS angstrom
-4.298 0.303 -4.189
-5.691 -1.292 1.435
-4.111 4.379 0.223
! Fermi-level density of states = 9.9 states/eV per cell
! formation energy without anion corrections = 0.38 eV per atom
! theoretical density = 6.813 Mg/m³

=====

formation energy without anion corrections of number 5 (BaZr2Te)?
0.00 eV per atom